1.
# Zn2RhAu PBE optimized geometry
data_Zn2RhAu
_chemical_formula_sum 'Zn8 Rh4 Au4'
_symmetry_space_group_name_H-M 'F -4 3 m'
_symmetry_Int_Tables_number 216
_symmetry_space_group_name_Hall 'F -4 2 3'
_cell_length_a 6.258
_cell_length_b 6.258
_cell_length_c 6.258
_cell_angle_alpha 90.00
_cell_angle_beta 90.00
_cell_angle_gamma 90.00
loop_
_atom_site_label
_atom_site_type_symbol
_atom_site_fract_x
_atom_site_fract_y
_atom_site_fract_z
_atom_site_occupancy
Zn1 Zn 0.000 0.000 0.000 1
Zn2 Zn 0.250 0.250 0.250 1
Rh1 Rh 0.250 0.250 0.750 1
Au1 Au 0.000 0.000 0.500 1
# Energy of formation from the pure elements = -128 meV/atom



2.
# Zn6RhAu5 PBE optimized geometry
data_Zn6RhAu5
_chemical_formula_sum 'Zn12 Rh2 Au10'
_symmetry_space_group_name_H-M 'I m m m'
_symmetry_Int_Tables_number 71
_symmetry_space_group_name_Hall '-I 2 2'
_cell_length_a 4.493
_cell_length_b 6.228
_cell_length_c 13.544
_cell_angle_alpha 90.00
_cell_angle_beta 90.00
_cell_angle_gamma 90.00
loop_
_atom_site_label
_atom_site_type_symbol
_atom_site_fract_x
_atom_site_fract_y
_atom_site_fract_z
_atom_site_occupancy
Zn1 Zn 0.000 0.238 0.000 1
Zn2 Zn 0.000 0.256 0.339 1
Rh1 Rh 0.000 0.500 0.500 1
Au1 Au 0.000 0.000 0.169 1
Au2 Au 0.000 0.000 0.500 1
Au3 Au 0.000 0.500 0.169 1
# Energy of formation from the pure elements = -244 meV/atom



3.
# Zn8RhAu2 PBE optimized geometry
data_Zn8RhAu2
_chemical_formula_sum 'Zn16 Rh2 Au4'
_symmetry_space_group_name_H-M 'C 1 2/m 1'
_symmetry_Int_Tables_number 12
_cell_length_a 7.116
_cell_length_b 12.978
_cell_length_c 4.151
_cell_angle_alpha 90.00
_cell_angle_beta 109.03
_cell_angle_gamma 90.00
loop_
_symmetry_equiv_pos_as_xyz
'x,y,z'
'-x,-y,-z'
'-x,y,-z'
'x,-y,z'
'x+1/2,y+1/2,z'
'-x+1/2,-y+1/2,-z'
'-x+1/2,y+1/2,-z'
'x+1/2,-y+1/2,z'
loop_
_atom_site_label
_atom_site_type_symbol
_atom_site_fract_x
_atom_site_fract_y
_atom_site_fract_z
_atom_site_occupancy
Zn1 Zn 0.000 0.196 0.000 1
Zn2 Zn 0.119 0.500 0.807 1
Zn3 Zn 0.194 0.103 0.621 1
Rh1 Rh 0.000 0.000 0.000 1
Au1 Au 0.000 0.314 0.500 1
# Relative energy among the computed polymorphs = 49 meV per atom
# Energy of formation from the pure elements = -123 meV/atom



4.
# ZnRhAu4 PBE optimized geometry
data_ZnRhAu4
_chemical_formula_sum 'Zn4 Rh4 Au16'
_symmetry_space_group_name_H-M 'F -4 3 m'
_symmetry_Int_Tables_number 216
_symmetry_space_group_name_Hall 'F -4 2 3'
_cell_length_a 7.650
_cell_length_b 7.650
_cell_length_c 7.650
_cell_angle_alpha 90.00
_cell_angle_beta 90.00
_cell_angle_gamma 90.00
loop_
_atom_site_label
_atom_site_type_symbol
_atom_site_fract_x
_atom_site_fract_y
_atom_site_fract_z
_atom_site_occupancy
Zn1 Zn 0.000 0.000 0.000 1
Rh1 Rh 0.250 0.250 0.250 1
Au1 Au 0.125 0.125 0.625 1
# Energy of formation from the pure elements = 317 meV/atom